# Li7Co5O12 (PBE with a Hubbard U, relaxed)
data_Li7Co5O12
_chemical_formula_sum 'Li7 Co5 O12'
_symmetry_space_group_name_H-M 'P -1'
_symmetry_Int_Tables_number 2
_symmetry_space_group_name_Hall '-P 1'
_cell_length_a 4.915
_cell_length_b 5.055
_cell_length_c 8.612
_cell_angle_alpha 73.20
_cell_angle_beta 89.81
_cell_angle_gamma 80.06
loop_
_atom_site_label
_atom_site_fract_x
_atom_site_fract_y
_atom_site_fract_z
_atom_site_occupancy
Li1 0.000 0.000 0.000 1
Li2 0.238 0.498 0.918 1
Li3 0.245 0.500 0.585 1
Li4 0.250 0.507 0.243 1
Co1 0.001 0.001 0.329 1
Co2 0.495 0.998 0.838 1
Co3 0.500 0.000 0.500 1
O1 0.125 0.219 0.464 1
O2 0.144 0.225 0.139 1
O3 0.145 0.219 0.786 1
O4 0.366 0.774 0.714 1
O5 0.370 0.776 0.360 1
O6 0.398 0.779 0.035 1
# total energy = -5.536 eV per atom
# polymorph energy (0 for the lowest one) = 2.28 kJ per mole of atoms
# mass density = 4.41 Mg/m³